Record 1
A relaxed HRuOF2 crystal, computed with PBE-GGA.

Cell lengths 3.1241, 3.1241, 4.3945 Å; angles 90.00, 90.00, 90.00 degrees
With the nearest neighbours (Å) after each atom.
Element x y z (fractional)
1 F 0.5000 0.0000 0.0000  2 H 1.56
2 F 0.0000 0.5000 0.0000  2 H 1.56
3 H 0.0000 0.0000 0.0000  4 F 1.56
4 Ru 0.5000 0.5000 0.5000  4 O 2.21
5 O 0.0000 0.0000 0.5000  2 H 2.20, 4 Ru 2.21

Calculated values
Total moment   0.7052 μB/atom
Crystal system   tetragonal
Polymorph energy (0 for the lowest one)   0.377 eV/atom
D(E_F)   2.29 states/eV per cell

=====

Record 2
A relaxed Zr2RuSe crystal, computed with PBE-GGA.

Cell lengths 3.2409, 3.2409, 7.1316 Å; angles 90.00, 90.00, 90.02 degrees
With the nearest neighbours (Å) after each atom.
Element x y z (fractional)
1 Se 0.5000 0.5000 0.7500  8 Zr 2.97, 4 Se 3.24
2 Ru 0.5000 0.5000 0.2500  8 Zr 2.84
3 Zr 0.0000 0.0000 0.4860  4 Ru 2.84, 4 Se 2.97
4 Zr 0.0000 0.0000 0.0140  4 Ru 2.84, 4 Se 2.97

Calculated values
Total moment   0.0000 μB/atom
Crystal system   tetragonal
ΔE_f (raw)   -0.67 eV/atom
D(E_F)   4.01 states/eV per cell

=====

Please write out number 2 again, unchanged.
A relaxed Zr2RuSe crystal, computed with PBE-GGA.

Cell lengths 3.2409, 3.2409, 7.1316 Å; angles 90.00, 90.00, 90.02 degrees
With the nearest neighbours (Å) after each atom.
Element x y z (fractional)
1 Se 0.5000 0.5000 0.7500  8 Zr 2.97, 4 Se 3.24
2 Ru 0.5000 0.5000 0.2500  8 Zr 2.84
3 Zr 0.0000 0.0000 0.4860  4 Ru 2.84, 4 Se 2.97
4 Zr 0.0000 0.0000 0.0140  4 Ru 2.84, 4 Se 2.97

Calculated values
Total moment   0.0000 μB/atom
Crystal system   tetragonal
ΔE_f (raw)   -0.67 eV/atom
D(E_F)   4.01 states/eV per cell

=====

- The lowest D(E_F) belongs to which entry?
  HRuOF2

=====

- Which of these has the highest D(E_F)?
  Zr2RuSe